Record 1
LaTmAsS | PBE-GGA | optimized geometry

E_form (uncorrected) (kJ/mol of atoms): -165

```
LaTmAsS
1.0
2.0118 1.1615 7.1519
-2.0118 1.1615 7.1519
0.0000 -2.3230 7.1519
La Tm As S
1 1 1 1
Direct
0.0000 0.0000 0.0000
0.1723 0.1723 0.1723
0.5787 0.5787 0.5787
0.7615 0.7615 0.7615
```

Record 2
LaYAsS | PBE-GGA | optimized geometry

E_form (uncorrected) (kJ/mol of atoms): -178

```
LaYAsS
1.0
2.0769 1.1991 6.7607
-2.0769 1.1991 6.7607
0.0000 -2.3982 6.7607
La Y As S
1 1 1 1
Direct
0.0000 0.0000 0.0000
0.5014 0.5014 0.5014
0.7555 0.7555 0.7555
0.2454 0.2454 0.2454
```

Record 3
LaZnAsS | PBE-GGA | optimized geometry

E_form (uncorrected) (kJ/mol of atoms): -117

```
LaZnAsS
1.0
2.2354 1.2906 11.3604
-2.2354 1.2906 11.3604
0.0000 -2.5812 11.3604
La Zn As S
2 2 2 2
Direct
0.1080 0.1080 0.1080
0.8920 0.8920 0.8920
0.3054 0.3054 0.3054
0.6946 0.6946 0.6946
0.3812 0.3812 0.3812
0.6188 0.6188 0.6188
0.1972 0.1972 0.1972
0.8028 0.8028 0.8028
```

Record 4
LaZr2AsS | PBE-GGA | optimized geometry

E_form (uncorrected) (kJ/mol of atoms): 104

```
LaZr2AsS
1.0
5.4318 0.0000 0.0000
0.0000 5.4318 0.0000
0.0000 0.0000 5.0700
La Zr As S
1 2 1 1
Direct
0.0000 0.0000 0.0000
0.0000 0.5000 0.0000
0.5000 0.0000 0.0000
0.5000 0.5000 0.5000
0.0000 0.0000 0.5000
```

Record 5
La4Sb2As | PBE-GGA | optimized geometry

E_form (uncorrected) (kJ/mol of atoms): -83

```
La4Sb2As
1.0
-2.7708 2.7708 8.3562
2.7708 -2.7708 8.3562
2.7708 2.7708 -8.3562
La Sb As
4 2 1
Direct
0.0000 0.5000 0.5000
0.1740 0.1740 0.0000
0.5000 0.0000 0.5000
0.8260 0.8260 0.0000
0.3677 0.3677 0.0000
0.6323 0.6323 0.0000
0.0000 0.0000 0.0000
```

Record 6
La2SbAs | PBE-GGA | optimized geometry

E_form (uncorrected) (kJ/mol of atoms): -126

```
La2SbAs
1.0
2.2186 1.2809 7.6623
-2.2186 1.2809 7.6623
0.0000 -2.5618 7.6623
La Sb As
2 1 1
Direct
0.0000 0.0000 0.0000
0.1796 0.1796 0.1796
0.4226 0.4226 0.4226
0.5914 0.5914 0.5914
```

Record 7
LaSb2As | PBE-GGA | optimized geometry

E_form (uncorrected) (kJ/mol of atoms): -31

```
LaSb2As
1.0
2.2808 -2.9114 0.0000
2.2808 2.9114 0.0000
0.0000 0.0000 8.3708
La Sb As
1 2 1
Direct
0.0000 0.0000 0.0000
0.0000 0.0000 0.5517
0.5000 0.5000 0.2802
0.5000 0.5000 0.7806
```

Record 8
LaSb2As | PBE-GGA | optimized geometry

E_form (uncorrected) (kJ/mol of atoms): -53

```
LaSb2As
1.0
-2.0736 2.6480 4.8631
2.0736 -2.6480 4.8631
2.0736 2.6480 -4.8631
La Sb As
1 2 1
Direct
0.0000 0.0000 0.0000
0.2739 0.7739 0.5000
0.5105 0.5105 0.0000
0.7266 0.2266 0.5000
```

Record 9
LaSbAs4 | PBE-GGA | optimized geometry

E_form (uncorrected) (kJ/mol of atoms): -21

```
LaSbAs4
1.0
0.0000 4.0763 4.0763
4.0763 0.0000 4.0763
4.0763 4.0763 0.0000
La Sb As
1 1 4
Direct
0.0000 0.0000 0.0000
0.7500 0.7500 0.7500
0.3773 0.3773 0.3773
0.3773 0.3773 0.8680
0.3773 0.8680 0.3773
0.8680 0.3773 0.3773
```

Record 10
La2SbAs | PBE-GGA | optimized geometry

E_form (uncorrected) (kJ/mol of atoms): -103

```
La2SbAs
1.0
-4.0620 4.0620 4.0554
4.0620 -4.0620 4.0554
4.0620 4.0620 -4.0554
La Sb As
4 2 2
Direct
0.1021 0.1250 0.4771
0.3750 0.8979 0.0229
0.6479 0.6250 0.5229
0.8750 0.3521 0.9771
0.2500 0.7500 0.5000
0.5000 0.5000 0.0000
0.0000 0.0000 0.0000
0.7500 0.2500 0.5000
```

Record 11
LaSb2As | PBE-GGA | optimized geometry

E_form (uncorrected) (kJ/mol of atoms): -54

```
LaSb2As
1.0
4.6209 0.0000 0.0000
0.0000 4.2930 0.0000
-2.2412 0.0000 5.8286
La Sb As
1 2 1
Direct
0.0000 0.0000 0.0000
0.4239 0.5000 0.7515
0.5761 0.5000 0.2485
0.0000 0.0000 0.5000
```

Record 12
LaSbAs | PBE-GGA | optimized geometry

E_form (uncorrected) (kJ/mol of atoms): -70

```
LaSbAs
1.0
4.8315 0.0000 0.0000
-2.4158 4.1842 0.0000
0.0000 0.0000 4.1321
La Sb As
1 1 1
Direct
0.0000 0.0000 0.0000
0.6667 0.3333 0.5000
0.3333 0.6667 0.5000
```

Record 13
La2SbAs4 | PBE-GGA | optimized geometry

E_form (uncorrected) (kJ/mol of atoms): -75

```
La2SbAs4
1.0
4.0848 0.0000 0.0000
0.0000 4.0848 0.0000
0.0000 0.0000 11.2741
La Sb As
2 1 4
Direct
0.0000 0.5000 0.2130
0.5000 0.0000 0.7870
0.0000 0.0000 0.5000
0.0000 0.0000 0.0000
0.0000 0.5000 0.6834
0.5000 0.0000 0.3166
0.5000 0.5000 0.0000
```

Record 14
La2SbAs | PBE-GGA | optimized geometry

E_form (uncorrected) (kJ/mol of atoms): -47

```
La2SbAs
1.0
0.0000 3.7813 3.7813
3.7813 0.0000 3.7813
3.7813 3.7813 0.0000
La Sb As
2 1 1
Direct
0.0000 0.0000 0.0000
0.2500 0.2500 0.2500
0.7500 0.7500 0.7500
0.5000 0.5000 0.5000
```

Record 15
La2SbAs | PBE-GGA | optimized geometry

E_form (uncorrected) (kJ/mol of atoms): -99

```
La2SbAs
1.0
-2.1915 2.2775 5.9311
2.1915 -2.2775 5.9311
2.1915 2.2775 -5.9311
La Sb As
2 1 1
Direct
0.0000 0.0000 0.0000
0.7394 0.2394 0.5000
0.2667 0.7667 0.5000
0.5169 0.5169 0.0000
```

Record 16
La5SbAs4 | PBE-GGA | optimized geometry

E_form (uncorrected) (kJ/mol of atoms): -145

```
La5SbAs4
1.0
-2.2097 3.1348 11.0773
2.2097 -3.1348 11.0773
2.2097 3.1348 -11.0773
La Sb As
5 1 4
Direct
0.0000 0.0000 0.0000
0.1990 0.1990 0.0000
0.3936 0.3936 0.0000
0.6064 0.6064 0.0000
0.8010 0.8010 0.0000
0.5000 0.0000 0.5000
0.1006 0.6006 0.5000
0.2975 0.7975 0.5000
0.7025 0.2025 0.5000
0.8994 0.3994 0.5000
```

Record 17
LaSb2As | PBE-GGA | optimized geometry

E_form (uncorrected) (kJ/mol of atoms): -42

```
LaSb2As
1.0
-4.3246 4.3246 3.0898
4.3246 -4.3246 3.0898
4.3246 4.3246 -3.0898
La Sb As
2 4 2
Direct
0.0000 0.0000 0.0000
0.7500 0.2500 0.5000
0.1576 0.6250 0.0326
0.3750 0.4076 0.5326
0.5924 0.1250 0.9674
0.8750 0.8424 0.4674
0.2500 0.7500 0.5000
0.5000 0.5000 0.0000
```

Record 18
La2SbAs | PBE-GGA | optimized geometry

E_form (uncorrected) (kJ/mol of atoms): -133

```
La2SbAs
1.0
4.5082 0.0000 0.0000
0.0000 4.5082 0.0000
0.0000 0.0000 6.3768
La Sb As
2 1 1
Direct
0.0000 0.0000 0.0000
0.5000 0.5000 0.5000
0.0000 0.0000 0.5000
0.5000 0.5000 0.0000
```

Record 19
LaSb2As | PBE-GGA | optimized geometry

E_form (uncorrected) (kJ/mol of atoms): -66

```
LaSb2As
1.0
4.4444 0.0000 0.0000
0.0000 4.3585 0.0000
-0.9112 0.0000 6.4549
La Sb As
1 2 1
Direct
0.0000 0.0000 0.0000
0.3421 0.5000 0.5973
0.8864 0.0000 0.5022
0.4903 0.5000 0.0168
```

Record 20
LaSb2As | PBE-GGA | optimized geometry

E_form (uncorrected) (kJ/mol of atoms): -60

```
LaSb2As
1.0
4.5081 0.0000 0.0000
0.0000 4.5306 0.0000
0.0000 0.0000 5.1486
La Sb As
1 2 1
Direct
0.0000 0.0000 0.0000
0.0000 0.5000 0.5000
0.5000 0.0000 0.5000
0.5000 0.5000 0.0000
```

Record 21
LaSbAs | PBE-GGA | optimized geometry

E_form (uncorrected) (kJ/mol of atoms): -25

```
LaSbAs
1.0
3.8362 0.0000 0.0000
-1.9181 3.3223 0.0000
0.0000 0.0000 6.6825
La Sb As
1 1 1
Direct
0.0000 0.0000 0.0000
0.6667 0.3333 0.3957
0.3333 0.6667 0.6676
```

Record 22
La2SbAs | PBE-GGA | optimized geometry

E_form (uncorrected) (kJ/mol of atoms): -105

```
La2SbAs
1.0
-2.8696 2.8696 3.4149
2.8696 -2.8696 3.4149
2.8696 2.8696 -3.4149
La Sb As
2 1 1
Direct
0.2500 0.7500 0.5000
0.7500 0.2500 0.5000
0.0000 0.0000 0.0000
0.5000 0.5000 0.0000
```

Record 23
LaSbAs | PBE-GGA | optimized geometry

E_form (uncorrected) (kJ/mol of atoms): -40

```
LaSbAs
1.0
0.0000 3.6567 3.6567
3.6567 0.0000 3.6567
3.6567 3.6567 0.0000
La Sb As
1 1 1
Direct
0.0000 0.0000 0.0000
0.2500 0.2500 0.2500
0.7500 0.7500 0.7500
```

Record 24
La6SbAs4 | PBE-GGA | optimized geometry

E_form (uncorrected) (kJ/mol of atoms): -134

```
La6SbAs4
1.0
2.1976 -7.1701 0.0000
2.1976 7.1701 0.0000
0.0000 0.0000 22.0812
La Sb As
12 2 8
Direct
0.0000 0.0000 0.0000
0.0000 0.0000 0.5000
0.1718 0.8282 0.7500
0.2732 0.7268 0.0821
0.2732 0.7268 0.4179
0.4569 0.5431 0.6608
0.4569 0.5431 0.8392
0.5431 0.4569 0.1608
0.5431 0.4569 0.3392
0.7268 0.2732 0.5821
0.7268 0.2732 0.9179
0.8282 0.1718 0.2500
0.1624 0.8376 0.2500
0.8376 0.1624 0.7500
0.0910 0.9090 0.6261
0.0910 0.9090 0.8739
0.3623 0.6377 0.5419
0.3623 0.6377 0.9581
0.6377 0.3623 0.0419
0.6377 0.3623 0.4581
0.9090 0.0910 0.1261
0.9090 0.0910 0.3739
```

Record 25
LaSb2As | PBE-GGA | optimized geometry

E_form (uncorrected) (kJ/mol of atoms): -62

```
LaSb2As
1.0
-2.1390 2.2594 5.5291
2.1390 -2.2594 5.5291
2.1390 2.2594 -5.5291
La Sb As
1 2 1
Direct
0.0000 0.0000 0.0000
0.2583 0.7583 0.5000
0.7417 0.2417 0.5000
0.5000 0.5000 0.0000
```

Record 26
La2SbAs | PBE-GGA | optimized geometry

E_form (uncorrected) (kJ/mol of atoms): -104

```
La2SbAs
1.0
0.0000 3.8618 3.8618
3.8618 0.0000 3.8618
3.8618 3.8618 0.0000
La Sb As
2 1 1
Direct
0.2500 0.2500 0.2500
0.7500 0.7500 0.7500
0.0000 0.0000 0.0000
0.5000 0.5000 0.5000
```

Record 27
La2SbAs | PBE-GGA | optimized geometry

E_form (uncorrected) (kJ/mol of atoms): -120

```
La2SbAs
1.0
4.7726 0.0000 0.0000
0.0000 2.1260 6.0607
0.0000 -2.1260 6.0607
La Sb As
2 1 1
Direct
0.0000 0.0000 0.0000
0.5000 0.2515 0.2515
0.0000 0.7334 0.7334
0.5000 0.4992 0.4992
```

Record 28
LaSbAs | PBE-GGA | optimized geometry

E_form (uncorrected) (kJ/mol of atoms): -76

```
LaSbAs
1.0
-2.0922 2.1025 5.2039
2.0922 -2.1025 5.2039
2.0922 2.1025 -5.2039
La Sb As
1 1 1
Direct
0.0000 0.0000 0.0000
0.3275 0.3275 0.0000
0.5819 0.5819 0.0000
```